No. 1
VASP calculation (PBE-GGA) on a geometry-optimized RePd2I structure.

POSCAR file:
```
RePd2I
1.0
1.5974 1.5170 4.1496
2.7638 3.7934 0.2089
-1.6416 4.0047 1.8274
Pd Re I
2 1 1
Direct
0.7500 0.7500 0.7500
0.2500 0.2500 0.2500
0.5000 0.5000 0.5000
0.0000 0.0000 0.0000
```

Values from the calculation:
- Distance to the lowest polymorph of the same formula: 0.016 eV/atom
- Formation energy (no corrections): 1.058 eV/atom
- Final energy: -20.2 eV/cell

=====

No. 2
VASP calculation (PBE-GGA) on a geometry-optimized RePd3I structure.

POSCAR file:
```
RePd3I
1.0
4.9326 0.0000 0.0000
0.0000 4.9326 0.0000
0.0000 0.0000 4.9326
Re I Pd
1 1 3
Direct
0.5000 0.5000 0.5000
0.0000 0.0000 0.0000
0.0000 0.5000 0.0000
0.5000 0.0000 0.0000
0.0000 0.0000 0.5000
```

Values from the calculation:
- Distance to the lowest polymorph of the same formula: 0.416 eV/atom
- Formation energy (no corrections): 1.549 eV/atom
- Final energy: -21.8 eV/cell

=====

No. 3
VASP calculation (PBE-GGA) on a geometry-optimized RePdI3 structure.

POSCAR file:
```
RePdI3
1.0
5.5154 0.0000 0.0000
0.0000 5.5154 0.0000
0.0000 0.0000 5.5154
Re I Pd
1 3 1
Direct
0.5000 0.5000 0.5000
0.0000 0.0000 0.5000
0.0000 0.5000 0.0000
0.5000 0.0000 0.0000
0.0000 0.0000 0.0000
```

Values from the calculation:
- Distance to the lowest polymorph of the same formula: 0.150 eV/atom
- Formation energy (no corrections): 1.154 eV/atom
- Final energy: -16.5 eV/cell

=====

- Which of these has the lowest final energy?
  RePd3I